(1)
First-principles (PBE) data for a relaxed structure of Ga2N2Cl, as listed in Alexandria.

Cell: 6.9818 6.9818 3.2330 Å, 90.00 90.00 90.00°
Fractional coordinates of all 10 atoms:
1 Ga 0.1274 0.3726 0.0000
2 Ga 0.3726 0.8726 0.0000
3 Ga 0.6274 0.1274 0.0000
4 Ga 0.8726 0.6274 0.0000
5 N 0.2282 0.2718 0.5000
6 N 0.2718 0.7718 0.5000
7 N 0.7282 0.2282 0.5000
8 N 0.7718 0.7282 0.5000
9 Cl 0.0000 0.0000 0.5000
10 Cl 0.5000 0.5000 0.5000

Properties
The energy relative to the lowest polymorph listed for this composition comes out at 207.7 kJ/mol of formula units. The calculation puts the theoretical density at 4276 kg/m3. Its density of states at the Fermi level is 3.82 states/eV/cell. Its space group is No. 127. Its total magnetic moment is 0.00 μB per formula unit.

***

(2)
First-principles (PBE) data for a relaxed structure of FeRu4Br, as listed in Alexandria.

Cell: 5.1587 5.1587 5.1587 Å, 60.00 60.00 60.00°
Fractional coordinates of all 6 atoms:
1 Fe 0.0000 0.0000 0.0000
2 Ru 0.1248 0.6251 0.6251
3 Ru 0.6251 0.1248 0.6251
4 Ru 0.6251 0.6251 0.1248
5 Ru 0.6251 0.6251 0.6251
6 Br 0.2500 0.2500 0.2500

Properties
The calculation puts the theoretical density at 9238 kg/m3. Its density of states at the Fermi level is 10.91 states/eV/cell. The raw total energy is -40.7 eV/cell. Its space group is No. 216. Its total magnetic moment is 5.27 μB per formula unit.

***

(3)
First-principles (PBE) data for a relaxed structure of K2YTe, as listed in Alexandria.

Cell: 12.8725 12.8725 12.8725 Å, 17.19 17.19 17.19°
Fractional coordinates of all 4 atoms:
1 K 0.2354 0.2354 0.2354
2 K 0.7646 0.7646 0.7646
3 Y 0.0000 0.0000 0.0000
4 Te 0.5000 0.5000 0.5000

Properties
The calculation puts the theoretical density at 3012 kg/m3. Its density of states at the Fermi level is 5.79 states/eV/cell. The raw total energy is -11.8 eV/cell. Its space group is No. 166. Its total magnetic moment is 0.94 μB per formula unit.

***

(4)
First-principles (PBE) data for a relaxed structure of Pr5HoEr2Sc, as listed in Alexandria.

Cell: 11.2730 11.2730 10.3202 Å, 90.00 90.00 152.31°
Fractional coordinates of all 18 atoms:
1 Pr 0.0000 0.0000 0.0000
2 Pr 0.0000 0.0000 0.5000
3 Pr 0.1273 0.8727 0.7500
4 Pr 0.2211 0.7789 0.0622
5 Pr 0.2211 0.7789 0.4378
6 Pr 0.4994 0.5006 0.2500
7 Pr 0.5006 0.4994 0.7500
8 Pr 0.7789 0.2211 0.5622
9 Pr 0.7789 0.2211 0.9378
10 Pr 0.8727 0.1273 0.2500
11 Ho 0.1014 0.8986 0.2500
12 Ho 0.8986 0.1014 0.7500
13 Er 0.3850 0.6150 0.5038
14 Er 0.3850 0.6150 0.9962
15 Er 0.6150 0.3850 0.0038
16 Er 0.6150 0.3850 0.4962
17 Sc 0.2884 0.7116 0.7500
18 Sc 0.7116 0.2884 0.2500

Properties
The calculation puts the theoretical density at 6807 kg/m3. The energy of formation from the pure elements is 125 meV per atom. Its density of states at the Fermi level is 26.38 states/eV/cell. Its space group is No. 63. Its total magnetic moment is 0.00 μB per formula unit.

***

(5)
First-principles (PBE) data for a relaxed structure of AlRe2Os, as listed in Alexandria.

Cell: 2.7197 2.7197 8.8658 Å, 90.00 90.00 115.31°
Fractional coordinates of all 4 atoms:
1 Al 0.0000 0.0000 0.0000
2 Re 0.5000 0.5000 0.2471
3 Re 0.5000 0.5000 0.7529
4 Os 0.0000 0.0000 0.5000

Properties
The calculation puts the theoretical density at 16515 kg/m3. The energy of formation from the pure elements is 241 meV per atom. Its density of states at the Fermi level is 3.09 states/eV/cell. Its space group is No. 65. Its total magnetic moment is 0.00 μB per formula unit.

***

(6)
First-principles (PBE) data for a relaxed structure of Co2ReRu, as listed in Alexandria.

Cell: 4.5233 4.5233 4.4787 Å, 99.80 99.80 33.92°
Fractional coordinates of all 4 atoms:
1 Co 0.0000 0.0000 0.0000
2 Co 0.7462 0.7462 0.2358
3 Re 0.4938 0.4938 0.4833
4 Ru 0.2512 0.2512 0.7511

Properties
The energy relative to the lowest polymorph listed for this composition comes out at 20.8 kJ/mol of formula units. The calculation puts the theoretical density at 13369 kg/m3. The energy of formation from the pure elements is 107 meV per atom. Its density of states at the Fermi level is 5.50 states/eV/cell. Its space group is No. 8. Its total magnetic moment is 1.72 μB per formula unit.

***

(7)
First-principles (PBE) data for a relaxed structure of Ga3TcRh, as listed in Alexandria.

Cell: 4.6884 4.6884 4.6884 Å, 90.00 90.00 90.00°
Fractional coordinates of all 5 atoms:
1 Ga 0.0000 0.0000 0.5000
2 Ga 0.0000 0.5000 0.0000
3 Ga 0.5000 0.0000 0.0000
4 Tc 0.5000 0.5000 0.5000
5 Rh 0.0000 0.0000 0.0000

Properties
The energy relative to the lowest polymorph listed for this composition comes out at 0.0 kJ/mol of formula units. The calculation puts the theoretical density at 6607 kg/m3. The energy of formation from the pure elements is 545 meV per atom. Its density of states at the Fermi level is 3.66 states/eV/cell. Its space group is No. 221. Its total magnetic moment is 3.63 μB per formula unit.

***

(8)
First-principles (PBE) data for a relaxed structure of Tm2MgNi, as listed in Alexandria.

Cell: 9.9241 9.9241 9.9241 Å, 21.65 21.65 21.65°
Fractional coordinates of all 4 atoms:
1 Tm 0.1148 0.1148 0.1148
2 Tm 0.8852 0.8852 0.8852
3 Mg 0.0000 0.0000 0.0000
4 Ni 0.5000 0.5000 0.5000

Properties
The energy relative to the lowest polymorph listed for this composition comes out at 128.4 kJ/mol of formula units. The calculation puts the theoretical density at 5996 kg/m3. The energy of formation from the pure elements is 53 meV per atom. Its density of states at the Fermi level is 3.02 states/eV/cell. Its space group is No. 166. Its total magnetic moment is 0.00 μB per formula unit.

***

(9)
First-principles (PBE) data for a relaxed structure of CoRuAu2, as listed in Alexandria.

Cell: 4.8810 4.8810 4.8219 Å, 100.03 100.03 33.33°
Fractional coordinates of all 4 atoms:
1 Co 0.0000 0.0000 0.0000
2 Ru 0.5000 0.5000 0.5000
3 Au 0.2531 0.2531 0.7534
4 Au 0.7469 0.7469 0.2466

Properties
The calculation puts the theoretical density at 14821 kg/m3. The energy of formation from the pure elements is 431 meV per atom. Its density of states at the Fermi level is 4.59 states/eV/cell. Its space group is No. 12. Its total magnetic moment is 3.08 μB per formula unit.

***

(10)
First-principles (PBE) data for a relaxed structure of MnAlRe2, as listed in Alexandria.

Cell: 2.6705 4.2094 5.1096 Å, 90.00 102.15 90.00°
Fractional coordinates of all 4 atoms:
1 Mn 0.0000 0.0000 0.0000
2 Al 0.5000 0.0000 0.5000
3 Re 0.2188 0.5000 0.7509
4 Re 0.7812 0.5000 0.2491

Properties
The calculation puts the theoretical density at 13436 kg/m3. The energy of formation from the pure elements is -21 meV per atom. Its density of states at the Fermi level is 2.94 states/eV/cell. Its space group is No. 10. Its total magnetic moment is 1.58 μB per formula unit.

***

(11)
First-principles (PBE) data for a relaxed structure of YMgNb2, as listed in Alexandria.

Cell: 6.2988 6.2988 6.2988 Å, 101.73 101.73 126.41°
Fractional coordinates of all 8 atoms:
1 Y 0.0000 0.0000 0.0000
2 Y 0.7500 0.2500 0.5000
3 Mg 0.2500 0.7500 0.5000
4 Mg 0.5000 0.5000 0.0000
5 Nb 0.1454 0.1250 0.5204
6 Nb 0.3750 0.8546 0.9796
7 Nb 0.6046 0.6250 0.4796
8 Nb 0.8750 0.3954 0.0204

Properties
The calculation puts the theoretical density at 5532 kg/m3. The energy of formation from the pure elements is 801 meV per atom. Its density of states at the Fermi level is 12.00 states/eV/cell. Its space group is No. 122. Its total magnetic moment is 0.00 μB per formula unit.

***

(12)
First-principles (PBE) data for a relaxed structure of VSi2Ru, as listed in Alexandria.

Cell: 4.2038 4.2038 4.2038 Å, 60.00 60.00 60.00°
Fractional coordinates of all 4 atoms:
1 V 0.0000 0.0000 0.0000
2 Si 0.2500 0.2500 0.2500
3 Si 0.7500 0.7500 0.7500
4 Ru 0.5000 0.5000 0.5000

Properties
The calculation puts the theoretical density at 6581 kg/m3. Its density of states at the Fermi level is 1.66 states/eV/cell. The raw total energy is -30.7 eV/cell. Its space group is No. 225. Its total magnetic moment is 2.64 μB per formula unit.

***

Repeat the eleventh record exactly.
First-principles (PBE) data for a relaxed structure of YMgNb2, as listed in Alexandria.

Cell: 6.2988 6.2988 6.2988 Å, 101.73 101.73 126.41°
Fractional coordinates of all 8 atoms:
1 Y 0.0000 0.0000 0.0000
2 Y 0.7500 0.2500 0.5000
3 Mg 0.2500 0.7500 0.5000
4 Mg 0.5000 0.5000 0.0000
5 Nb 0.1454 0.1250 0.5204
6 Nb 0.3750 0.8546 0.9796
7 Nb 0.6046 0.6250 0.4796
8 Nb 0.8750 0.3954 0.0204

Properties
The calculation puts the theoretical density at 5532 kg/m3. The energy of formation from the pure elements is 801 meV per atom. Its density of states at the Fermi level is 12.00 states/eV/cell. Its space group is No. 122. Its total magnetic moment is 0.00 μB per formula unit.